(1)
VASP calculation (PBE) on a relaxed AlSiHg crystal.

- DOS(E_F): 1.006 states/eV/cell
- Calculated total energy: -2.92 eV/atom
- Distance to the lowest polymorph of the same formula: 0 kJ/mol of formula units

a b c (Å): 6.628 6.628 6.628
angles (deg): 153.95 146.53 42.90
Element x y z (fractional)
Si: 0.544 0.544 0.000
Hg: 0.334 0.334 0.000
Al: 0.121 0.121 0.000


(2)
VASP calculation (PBE) on a relaxed La12TbPm7 crystal.

- DOS(E_F): 25.485 states/eV/cell
- Calculated total energy: -4.67 eV/atom
- Distance to the lowest polymorph of the same formula: 0 kJ/mol of formula units
- DFT formation energy: 0.176 eV per atom

a b c (Å): 6.438 11.600 11.600
angles (deg): 116.66 100.66 100.66
Element x y z (fractional)
La: 0.093 0.592 0.185
La: 0.091 0.185 0.593
La: 0.570 0.645 0.001
La: 0.431 0.001 0.356
La: 0.499 0.407 0.592
La: 0.075 0.644 0.645
La: 0.925 0.356 0.355
La: 0.501 0.593 0.408
La: 0.569 0.999 0.644
La: 0.430 0.355 0.999
La: 0.909 0.815 0.407
La: 0.907 0.408 0.815
Tb: 0.000 0.000 0.000
Pm: 0.116 0.749 0.001
Pm: 0.885 0.001 0.252
Pm: 0.633 0.748 0.749
Pm: 0.500 0.000 0.000
Pm: 0.367 0.252 0.251
Pm: 0.115 0.999 0.748
Pm: 0.884 0.251 0.999


(3)
VASP calculation (PBE) on a relaxed YMo2P crystal.

- DOS(E_F): 3.229 states/eV/cell
- Calculated total energy: -8.38 eV/atom
- DFT formation energy: -0.001 eV per atom

a b c (Å): 7.954 7.954 7.954
angles (deg): 24.33 24.33 24.33
Element x y z (fractional)
Y: 0.243 0.243 0.243
Mo: 0.010 0.010 0.010
Mo: 0.758 0.758 0.758
P: 0.489 0.489 0.489


(4)
VASP calculation (PBE) on a relaxed Tb2Pm8Tm crystal.

- DOS(E_F): 16.140 states/eV/cell
- Calculated total energy: -4.69 eV/atom
- Distance to the lowest polymorph of the same formula: 0 kJ/mol of formula units
- DFT formation energy: 0.016 eV per atom

a b c (Å): 5.118 8.093 9.566
angles (deg): 104.68 105.52 90.00
Element x y z (fractional)
Tb: 0.227 0.635 0.454
Tb: 0.773 0.365 0.546
Pm: 0.591 0.452 0.182
Pm: 0.318 0.090 0.637
Pm: 0.136 0.183 0.273
Pm: 0.046 0.729 0.092
Pm: 0.864 0.817 0.727
Pm: 0.682 0.910 0.363
Pm: 0.409 0.548 0.818
Pm: 0.954 0.271 0.908
Tm: 0.500 0.000 0.000


(5)
VASP calculation (PBE) on a relaxed MgInIO2 crystal.

- DOS(E_F): 2.450 states/eV/cell
- Calculated total energy: -3.66 eV/atom
- Distance to the lowest polymorph of the same formula: 0 kJ/mol of formula units

a b c (Å): 4.192 4.192 5.928
angles (deg): 90.00 90.00 90.00
Each line ends with the local moment (μB).
Element x y z (fractional)
I: 0.000 0.000 0.500  0.01
Mg: 0.500 0.500 0.500  0.01
O: 0.000 0.500 0.000  -0.16
O: 0.500 0.000 0.000  -0.16
In: 0.000 0.000 0.000  0.01


(6)
VASP calculation (PBE) on a relaxed Ta2SnGe2 crystal.

- DOS(E_F): 4.585 states/eV/cell
- Calculated total energy: -7.37 eV/atom
- Distance to the lowest polymorph of the same formula: 0 kJ/mol of formula units
- DFT formation energy: 0.021 eV per atom

a b c (Å): 7.342 7.342 3.497
angles (deg): 90.00 90.00 90.00
Element x y z (fractional)
Ge: 0.147 0.647 0.500
Ge: 0.647 0.853 0.500
Ge: 0.853 0.353 0.500
Ge: 0.353 0.147 0.500
Sn: 0.000 0.000 0.000
Sn: 0.500 0.500 0.000
Ta: 0.357 0.857 0.000
Ta: 0.857 0.643 0.000
Ta: 0.643 0.143 0.000
Ta: 0.143 0.357 0.000


(7)
VASP calculation (PBE) on a relaxed Zr2TlCd crystal.

- DOS(E_F): 3.147 states/eV/cell
- Calculated total energy: -5.07 eV/atom
- DFT formation energy: 0.027 eV per atom

a b c (Å): 10.313 10.313 10.313
angles (deg): 18.56 18.56 18.56
Element x y z (fractional)
Cd: 0.502 0.502 0.502
Tl: 0.750 0.750 0.750
Zr: 0.997 0.997 0.997
Zr: 0.252 0.252 0.252


(8)
VASP calculation (PBE) on a relaxed K2YCuI6 crystal.

- DOS(E_F): 0.000 states/eV/cell
- Calculated total energy: -3.28 eV/atom
- Distance to the lowest polymorph of the same formula: 56 kJ/mol of formula units

a b c (Å): 8.338 8.338 8.338
angles (deg): 60.00 60.00 60.00
Element x y z (fractional)
K: 0.750 0.750 0.750
K: 0.250 0.250 0.250
Y: 0.500 0.500 0.500
Cu: 0.000 0.000 0.000
I: 0.244 0.756 0.244
I: 0.756 0.244 0.244
I: 0.756 0.244 0.756
I: 0.244 0.244 0.756
I: 0.756 0.756 0.244
I: 0.244 0.756 0.756


(9)
VASP calculation (PBE) on a relaxed Cs3CdP crystal.

- DOS(E_F): 4.626 states/eV/cell
- Calculated total energy: -1.73 eV/atom
- DFT formation energy: 0.044 eV per atom

a b c (Å): 6.983 6.983 6.983
angles (deg): 90.00 90.00 90.00
Each line ends with the local moment (μB).
Element x y z (fractional)
Cs: 0.000 0.500 0.000  0.01
Cs: 0.000 0.000 0.500  0.01
Cs: 0.500 0.000 0.000  0.01
Cd: 0.500 0.500 0.500  0.00
P: 0.000 0.000 0.000  0.23


(10)
VASP calculation (PBE) on a relaxed K2AgGeS4 crystal.

- DOS(E_F): 6.934 states/eV/cell
- Calculated total energy: -3.89 eV/atom

a b c (Å): 6.793 6.443 6.443
angles (deg): 73.87 58.19 58.19
Each line ends with the local moment (μB).
Element x y z (fractional)
K: 0.000 0.500 0.500  0.00
K: 0.500 0.500 0.500  0.00
Ag: 0.000 0.000 0.000  0.19
Ge: 0.500 0.000 0.000  -0.01
S: 0.130 0.313 0.000  0.13
S: 0.870 0.000 0.687  0.13
S: 0.557 0.000 0.313  0.13
S: 0.443 0.687 0.000  0.13


(11)
VASP calculation (PBE) on a relaxed LiMn3Cl8 crystal.

- DOS(E_F): 7.490 states/eV/cell
- Calculated total energy: -4.85 eV/atom

a b c (Å): 7.203 7.374 7.604
angles (deg): 117.41 90.00 119.24
Each line ends with the local moment (μB).
Element x y z (fractional)
Li: 0.000 0.000 0.000  0.00
Mn: 0.500 0.000 0.000  3.98
Mn: 0.500 0.500 0.000  4.31
Mn: 0.000 0.500 0.000  4.31
Cl: 0.257 0.513 0.774  0.10
Cl: 0.743 0.487 0.226  0.10
Cl: 0.280 0.028 0.793  0.04
Cl: 0.748 0.028 0.793  0.04
Cl: 0.762 0.524 0.793  0.04
Cl: 0.238 0.476 0.207  0.04
Cl: 0.252 0.972 0.207  0.04
Cl: 0.720 0.972 0.207  0.04


(12)
VASP calculation (PBE) on a relaxed CuTeAs2 crystal.

- DOS(E_F): 1.794 states/eV/cell
- Calculated total energy: -4.08 eV/atom

a b c (Å): 8.504 8.504 4.078
angles (deg): 42.51 42.51 25.92
Element x y z (fractional)
As: 0.019 0.019 0.995
As: 0.481 0.481 0.505
Cu: 0.250 0.250 0.250
Te: 0.750 0.750 0.750


The highest calculated total energy belongs to which entry?
Cs3CdP